No. 1
Ba2Al5Ag12: optimized geometry, GGA-PBE. Values from VASP.

Energy relative to the elements = -155.0 meV per atom
Spin magnetization = 0.000 μB/cell

```
&SYSTEM
  ibrav = 0, nat = 19, ntyp = 3
/
ATOMIC_SPECIES
Ba 137.33 Ba.upf
Al 26.98 Al.upf
Ag 107.87 Ag.upf
ATOMIC_POSITIONS angstrom
Ba 5.284 4.890 5.747
Ba 2.876 2.661 3.128
Al 0.069 0.064 3.682
Al 0.347 3.647 0.378
Al 3.663 0.064 0.378
Al 7.402 6.850 8.051
Al 0.757 0.701 0.824
Ag 2.634 5.198 0.756
Ag 5.224 0.128 2.688
Ag 0.301 2.224 5.431
Ag 5.387 2.224 0.756
Ag 2.241 0.128 5.431
Ag 0.532 5.198 2.688
Ag 2.809 2.600 6.964
Ag 3.111 6.483 3.384
Ag 6.704 2.600 3.384
Ag 5.049 1.068 5.492
Ag 5.350 4.951 1.911
Ag 1.456 4.951 5.492
CELL_PARAMETERS angstrom
7.326 0.128 0.756
0.695 7.294 0.756
0.139 0.128 7.363
```

No. 2
MgIn2Ni: optimized geometry, GGA-PBE. Values from VASP.

Energy relative to the elements = 27.8 meV per atom
Spin magnetization = 0.000 μB/cell

```
&SYSTEM
  ibrav = 0, nat = 4, ntyp = 3
/
ATOMIC_SPECIES
In 114.82 In.upf
Mg 24.30 Mg.upf
Ni 58.69 Ni.upf
ATOMIC_POSITIONS angstrom
In 0.000 0.000 0.000
In 2.142 2.142 0.000
Mg 2.142 0.000 2.078
Ni 0.000 2.142 2.078
CELL_PARAMETERS angstrom
4.283 0.000 0.000
0.000 4.283 0.000
0.000 0.000 4.155
```

No. 3
LiNbPdO4: optimized geometry, GGA-PBE. Values from VASP.

E_form (uncorrected) = -165.0 kJ/mol of atoms
Spin magnetization = 0.000 μB/cell

```
&SYSTEM
  ibrav = 0, nat = 14, ntyp = 4
/
ATOMIC_SPECIES
Li 6.94 Li.upf
Nb 92.91 Nb.upf
Pd 106.42 Pd.upf
O 16.00 O.upf
ATOMIC_POSITIONS angstrom
Li -4.367 1.999 -0.232
Li 1.453 2.993 3.483
Nb 0.959 4.098 0.015
Nb -0.827 2.291 -1.624
Pd -1.457 2.496 1.625
Pd -0.630 0.205 3.249
O -0.689 4.373 1.242
O -4.186 -1.085 2.971
O -4.928 0.972 1.512
O -2.305 2.738 -0.240
O -0.609 2.254 3.491
O 1.272 6.078 0.280
O 2.015 4.021 1.738
O -2.225 0.620 2.009
CELL_PARAMETERS angstrom
-1.654 4.582 -3.248
-4.833 -3.203 3.221
3.573 3.613 3.278
```

What is the spin magnetization in the third record? 0.000 μB/cell